VASP calculation (PBE) on Nb3AgHg after structural relaxation.

Unit cell a=4.936 b=4.936 c=4.936 alpha=90.00 beta=90.00 gamma=90.00
Sites, in units of the cell vectors:
Nb 0.000 0.000 0.500
Nb 0.000 0.500 0.000
Nb 0.500 0.000 0.000
Ag 0.000 0.000 0.000
Hg 0.500 0.500 0.500

Properties
Crystal system: cubic
Total magnetization in μB per formula unit: 2.06
Formation energy in eV/atom: 1.70
Calculated volume in Å³/atom: 24.1

VASP calculation (PBE) on NbAg3Hg after structural relaxation.

Unit cell a=5.120 b=5.120 c=5.120 alpha=90.00 beta=90.00 gamma=90.00
Sites, in units of the cell vectors:
Nb 0.000 0.000 0.000
Ag 0.000 0.500 0.500
Ag 0.500 0.000 0.500
Ag 0.500 0.500 0.000
Hg 0.500 0.500 0.500

Properties
Crystal system: cubic
Total magnetization in μB per formula unit: 3.54
Formation energy in eV/atom: 1.26
Calculated volume in Å³/atom: 26.8

VASP calculation (PBE) on NbAg2Hg after structural relaxation.

Unit cell a=7.676 b=7.676 c=5.660 alpha=90.00 beta=90.00 gamma=90.00
Sites, in units of the cell vectors:
Nb 0.000 0.000 0.000
Nb 0.000 0.500 0.250
Nb 0.500 0.000 0.750
Nb 0.500 0.500 0.500
Ag 0.247 0.250 0.125
Ag 0.250 0.747 0.375
Ag 0.250 0.753 0.875
Ag 0.253 0.250 0.625
Ag 0.747 0.750 0.625
Ag 0.750 0.247 0.875
Ag 0.750 0.253 0.375
Ag 0.753 0.750 0.125
Hg 0.000 0.000 0.500
Hg 0.000 0.500 0.750
Hg 0.500 0.000 0.250
Hg 0.500 0.500 0.000

Properties
Crystal system: tetragonal
Total magnetization in μB per formula unit: 0.00
Formation energy in eV/atom: 0.71
Calculated volume in Å³/atom: 20.8

VASP calculation (PBE) on NbAg2HgO4 after structural relaxation.

Unit cell a=6.372 b=6.133 c=5.319 alpha=67.18 beta=62.52 gamma=50.30
Sites, in units of the cell vectors:
Nb 0.000 0.000 0.000
Ag 0.237 0.237 0.263
Ag 0.737 0.737 0.763
Hg 0.453 0.453 0.547
O 0.084 0.697 0.303
O 0.328 0.887 0.672
O 0.697 0.084 0.916
O 0.887 0.328 0.113

Properties
Crystal system: orthorhombic
Total magnetization in μB per formula unit: 0.00
Formation energy (no corrections) in meV/atom: -1051
Calculated volume in Å³/atom: 17.6

VASP calculation (PBE) on NbAgHg2Os after structural relaxation.

Unit cell a=4.965 b=4.965 c=5.180 alpha=90.00 beta=90.00 gamma=90.00
Sites, in units of the cell vectors:
Nb 0.000 0.000 0.000
Ag 0.000 0.000 0.500
Hg 0.000 0.500 0.500
Hg 0.500 0.000 0.500
Os 0.500 0.500 0.000

Properties
Crystal system: tetragonal
Total magnetization in μB per formula unit: 0.69
Formation energy in eV/atom: 1.94
Calculated volume in Å³/atom: 25.5

VASP calculation (PBE) on NbAgHg2Sb after structural relaxation.

Unit cell a=5.551 b=5.551 c=5.135 alpha=90.00 beta=90.00 gamma=90.00
Sites, in units of the cell vectors:
Nb 0.000 0.000 0.000
Ag 0.500 0.500 0.000
Hg 0.000 0.500 0.500
Hg 0.500 0.000 0.500
Sb 0.500 0.500 0.500

Properties
Crystal system: tetragonal
Total magnetization in μB per formula unit: 4.32
Formation energy (no corrections) in meV/atom: 1191
Calculated volume in Å³/atom: 31.6

VASP calculation (PBE) on NbAg2HgTe after structural relaxation.

Unit cell a=5.441 b=5.441 c=5.217 alpha=90.00 beta=90.00 gamma=90.00
Sites, in units of the cell vectors:
Nb 0.000 0.000 0.000
Ag 0.000 0.500 0.000
Ag 0.500 0.000 0.000
Hg 0.500 0.500 0.500
Te 0.000 0.000 0.500

Properties
Crystal system: tetragonal
Total magnetization in μB per formula unit: 0.00
Formation energy (no corrections) in meV/atom: 726
Calculated volume in Å³/atom: 30.9

VASP calculation (PBE) on NdAg4Hg after structural relaxation.

Unit cell a=5.636 b=5.636 c=5.636 alpha=60.00 beta=60.00 gamma=60.00
Sites, in units of the cell vectors:
Nd 0.000 0.000 0.000
Ag 0.375 0.375 0.375
Ag 0.375 0.375 0.874
Ag 0.375 0.874 0.375
Ag 0.874 0.375 0.375
Hg 0.750 0.750 0.750

Properties
Crystal system: cubic
Total magnetization in μB per formula unit: 0.00
Formation energy in eV/atom: -0.19
Calculated volume in Å³/atom: 21.1

The records above give, respectively, DFT total energy values of -4.97; -2.52; -3.30; -5.54; -3.01; -2.34; -3.12; -2.94 eV per atom.